# Sr2PmCd5 (PBE, optimized geometry)
data_Sr2PmCd5
_cell_length_a 5.430
_cell_length_b 5.430
_cell_length_c 15.535
_cell_angle_alpha 90.00
_cell_angle_beta 90.00
_cell_angle_gamma 90.00
_space_group_name_H-M_alt 'I 4/m m m'
_space_group_IT_number 139
_space_group_name_Hall '-I 4 2'
loop_
_atom_site_label
_atom_site_fract_x
_atom_site_fract_y
_atom_site_fract_z
Sr1 0.000 0.000 0.240
Pm1 0.000 0.000 0.500
Cd1 0.000 0.000 0.000
Cd2 0.000 0.500 0.111
# * E: -1.87 eV/atom
# * energy of formation from the pure elements: -0.2826 eV per atom
# * mass density: 6.40 Mg/m³
# * D(E_F): 0.6777 states/eV/atom



# RbPuCuS2 (PBE, optimized geometry)
data_RbPuCuS2
_cell_length_a 8.095
_cell_length_b 5.820
_cell_length_c 6.231
_cell_angle_alpha 90.00
_cell_angle_beta 112.59
_cell_angle_gamma 90.00
_space_group_name_H-M_alt 'P 1 2/c 1'
_space_group_IT_number 13
_space_group_name_Hall '-P 2yc'
loop_
_atom_site_label
_atom_site_fract_x
_atom_site_fract_y
_atom_site_fract_z
Rb1 0.000 0.233 0.250
Pu1 0.500 0.500 0.250
Cu1 0.500 0.000 0.000
S1 0.272 0.239 0.886
# * E: -6.47 eV/atom
# * formation energy (no corrections): -0.94 eV per atom
# * mass density: 5.60 Mg/m³
# * D(E_F): 1.3951 states/eV/atom



# LiCdOs2 (PBE, optimized geometry)
data_LiCdOs2
_cell_length_a 2.7423
_cell_length_b 2.7423
_cell_length_c 28.3400
_cell_angle_alpha 90.00
_cell_angle_beta 90.00
_cell_angle_gamma 120.00
_space_group_name_H-M_alt 'R -3 m'
_space_group_IT_number 166
_space_group_name_Hall '-R 3 2"'
loop_
_atom_site_label
_atom_site_fract_x
_atom_site_fract_y
_atom_site_fract_z
Li1 0.0000 0.0000 0.0000
Cd1 0.0000 0.0000 0.5000
Os1 0.0000 0.0000 0.2532
# * E: -5.84 eV/atom
# * energy of formation from the pure elements: 0.4818 eV per atom
# * mass density: 13.49 Mg/m³
# * D(E_F): 0.7033 states/eV/atom



# CeNpBiSb (PBE, optimized geometry)
data_CeNpBiSb
_cell_length_a 7.687
_cell_length_b 7.687
_cell_length_c 7.687
_cell_angle_alpha 90.00
_cell_angle_beta 90.00
_cell_angle_gamma 90.00
_space_group_name_H-M_alt 'F -4 3 m'
_space_group_IT_number 216
_space_group_name_Hall 'F -4 2 3'
loop_
_atom_site_label
_atom_site_fract_x
_atom_site_fract_y
_atom_site_fract_z
Ce1 0.000 0.000 0.000
Np1 0.000 0.000 0.500
Bi1 0.250 0.250 0.250
Sb1 0.250 0.250 0.750
# * E: -7.07 eV/atom
# * formation energy (no corrections): -0.35 eV per atom
# * mass density: 10.35 Mg/m³
# * D(E_F): 4.3093 states/eV/atom



# Be6Cu23 (PBE, optimized geometry)
data_Be6Cu23
_cell_length_a 10.996
_cell_length_b 10.996
_cell_length_c 10.996
_cell_angle_alpha 90.00
_cell_angle_beta 90.00
_cell_angle_gamma 90.00
_space_group_name_H-M_alt 'F m -3 m'
_space_group_IT_number 225
_space_group_name_Hall '-F 4 2 3'
loop_
_atom_site_label
_atom_site_fract_x
_atom_site_fract_y
_atom_site_fract_z
Be1 0.000 0.000 0.227
Cu1 0.000 0.000 0.500
Cu2 0.000 0.172 0.328
Cu3 0.121 0.121 0.121
Cu4 0.250 0.250 0.250
# * E: -3.95 eV/atom
# * energy of formation from the pure elements: 0.0675 eV per atom
# * mass density: 7.57 Mg/m³
# * D(E_F): 0.2577 states/eV/atom



# Li2CuBiO4 (PBE, optimized geometry)
data_Li2CuBiO4
_cell_length_a 4.461
_cell_length_b 4.461
_cell_length_c 8.863
_cell_angle_alpha 90.00
_cell_angle_beta 90.00
_cell_angle_gamma 90.00
_space_group_name_H-M_alt 'I -4 m 2'
_space_group_IT_number 119
_space_group_name_Hall 'I -4 -2'
loop_
_atom_site_label
_atom_site_fract_x
_atom_site_fract_y
_atom_site_fract_z
Li1 0.000 0.000 0.000
Li2 0.000 0.500 0.250
Cu1 0.000 0.500 0.750
Bi1 0.000 0.000 0.500
O1 0.000 0.000 0.249
O2 0.000 0.500 0.516
# * E: -5.16 eV/atom
# * formation energy (no corrections): -1.20 eV per atom
# * mass density: 6.60 Mg/m³
# * D(E_F): 0.3847 states/eV/atom